1.
{"formula": "Ca2TbIn9", "functional": "PBE", "state": "relaxed", "cell": [[4.6923, 0.0000, 0.0000], [0.0000, 4.6923, 0.0000], [0.0000, 0.0000, 14.1100]], "species": ["In", "In", "In", "In", "In", "In", "In", "In", "In", "Ca", "Ca", "Tb"], "fractional_positions": [[0.5000, 0.0000, 0.5000], [0.5000, 0.5000, 0.6669], [0.5000, 0.0000, 0.1655], [0.0000, 0.5000, 0.1655], [0.5000, 0.0000, 0.8345], [0.0000, 0.5000, 0.5000], [0.0000, 0.5000, 0.8345], [0.5000, 0.5000, 0.3331], [0.5000, 0.5000, 0.0000], [0.0000, 0.0000, 0.3323], [0.0000, 0.0000, 0.6677], [0.0000, 0.0000, 0.0000]], "magnetic_moment_mub_per_atom": 0.0000, "vol_a3_per_cell": 310.7, "sg": "P4/mmm, No. 123", "dos_at_fermi_per_ev_atom": 0.419, "total_energy_ev_per_atom": -3.1319}

***

2.
{"formula": "CaTb12In6", "functional": "PBE", "state": "relaxed", "cell": [[-1.9869, -8.6908, 2.0591], [2.4134, 0.7982, -8.7895], [6.5670, 3.2319, 5.4906]], "species": ["Tb", "Tb", "Tb", "Tb", "Tb", "Tb", "Tb", "Tb", "Tb", "Tb", "Tb", "Tb", "In", "In", "In", "In", "In", "In", "Ca"], "fractional_positions": [[0.2731, 0.9044, 0.8183], [0.1817, 0.7269, 0.0956], [0.8183, 0.2731, 0.9044], [0.5245, 0.7962, 0.6731], [0.3269, 0.4755, 0.2038], [0.2038, 0.3269, 0.4755], [0.9044, 0.8183, 0.2731], [0.6731, 0.5245, 0.7962], [0.0956, 0.1817, 0.7269], [0.4755, 0.2038, 0.3269], [0.7962, 0.6731, 0.5245], [0.7269, 0.0956, 0.1817], [0.4220, 0.6368, 0.9310], [0.5780, 0.3632, 0.0690], [0.3632, 0.0690, 0.5780], [0.6368, 0.9310, 0.4220], [0.9310, 0.4220, 0.6368], [0.0690, 0.5780, 0.3632], [0.0000, 0.0000, 0.0000]], "magnetic_moment_mub_per_atom": 0.0002, "vol_a3_per_cell": 556.9, "sg": "R-3, No. 148", "dos_at_fermi_per_ev_atom": 1.492, "total_energy_ev_per_atom": -4.0659}

***

3.
{"formula": "Ca2TbIn", "functional": "PBE", "state": "relaxed", "cell": [[-0.9893, -0.7842, 3.9877], [3.9657, -1.0838, 0.7708], [1.5603, 6.9578, 1.7554]], "species": ["Ca", "Ca", "Tb", "In"], "fractional_positions": [[0.0000, 0.0000, 0.2330], [0.0000, 0.0000, 0.7670], [0.5000, 0.5000, 0.5000], [0.5000, 0.5000, 0.0000]], "magnetic_moment_mub_per_atom": 0.0000, "vol_a3_per_cell": 128.5, "sg": "P4/mmm, No. 123", "dos_at_fermi_per_ev_atom": 0.773, "total_energy_ev_per_atom": -2.9557, "relative_energy_ev_per_fu": 0.44}

***

4.
{"formula": "Ca3TbIn4", "functional": "PBE", "state": "relaxed", "cell": [[-0.4366, 3.4647, -1.5069], [-0.4140, -1.5517, -3.4476], [-15.3338, -0.9464, 2.2672]], "species": ["In", "In", "In", "In", "Ca", "Ca", "Ca", "Tb"], "fractional_positions": [[0.0000, 0.0000, 0.1219], [0.0000, 0.0000, 0.8781], [0.0000, 0.0000, 0.3730], [0.0000, 0.0000, 0.6270], [0.5000, 0.5000, 0.2488], [0.5000, 0.5000, 0.7512], [0.5000, 0.5000, 0.5000], [0.5000, 0.5000, 0.0000]], "magnetic_moment_mub_per_atom": 0.0000, "vol_a3_per_cell": 224.6, "sg": "P4/mmm, No. 123", "dos_at_fermi_per_ev_atom": 0.643, "total_energy_ev_per_atom": -3.1665}